1.
Mg6InAu12, optimized geometry, DFT PBE; E = -3.04 eV/atom; formation energy from the elements = -6.16 eV per formula unit
1.0
-0.235 -0.620 7.753
-7.285 -0.623 -2.662
4.066 -6.037 -2.751
Au Mg In
12 6 1
direct
0.500 0.883 0.117
0.883 0.117 0.500
0.353 0.118 0.353
0.118 0.353 0.353
0.353 0.353 0.118
0.647 0.647 0.882
0.117 0.500 0.883
0.500 0.117 0.883
0.117 0.883 0.500
0.882 0.647 0.647
0.883 0.500 0.117
0.647 0.882 0.647
0.298 0.711 0.298
0.711 0.298 0.298
0.298 0.298 0.711
0.702 0.702 0.289
0.702 0.289 0.702
0.289 0.702 0.702
0.000 0.000 0.000

2.
KCdCuO2, optimized geometry, DFT PBE; E = -4.15 eV/atom; uncorrected formation energy = -941 meV/atom
1.0
-3.864 -2.154 -0.953
3.075 -5.754 0.542
-2.932 2.702 5.779
Cd Cu O K
2 2 4 2
direct
0.500 0.250 0.000
0.500 0.750 0.000
0.000 0.000 0.000
0.000 0.500 0.000
0.284 0.395 0.789
0.716 0.895 0.789
0.284 0.105 0.211
0.716 0.605 0.211
0.761 0.250 0.500
0.239 0.750 0.500

3.
MnCo3, optimized geometry, DFT PBE; E = -7.53 eV/atom; formation energy from the elements = 0.37 eV per formula unit
1.0
-1.220 -3.243 -0.249
0.687 0.003 -3.406
3.471 0.365 2.472
Co Mn
3 1
direct
0.250 0.750 0.500
0.500 0.500 0.000
0.750 0.250 0.500
0.000 0.000 0.000

4.
Pm5As12Au3, optimized geometry, DFT PBE; E = -4.77 eV/atom; formation energy from the elements = -6.02 eV per formula unit
1.0
-0.307 9.515 10.893
9.437 -10.529 3.059
4.043 6.718 -12.158
As Pm Au
48 20 12
direct
0.596 0.062 0.242
0.742 0.096 0.062
0.758 0.320 0.854
0.404 0.938 0.758
0.820 0.966 0.062
0.646 0.904 0.466
0.904 0.646 0.966
0.438 0.680 0.034
0.320 0.758 0.354
0.242 0.562 0.596
0.096 0.354 0.034
0.646 0.742 0.680
0.466 0.062 0.320
0.938 0.534 0.180
0.854 0.034 0.596
0.534 0.938 0.680
0.966 0.146 0.904
0.854 0.820 0.758
0.180 0.146 0.742
0.034 0.180 0.438
0.562 0.320 0.966
0.034 0.854 0.096
0.404 0.466 0.146
0.096 0.742 0.562
0.062 0.466 0.820
0.562 0.242 0.096
0.680 0.242 0.646
0.466 0.404 0.646
0.680 0.438 0.534
0.438 0.758 0.904
0.146 0.966 0.404
0.758 0.438 0.404
0.904 0.258 0.438
0.742 0.646 0.180
0.354 0.096 0.534
0.354 0.258 0.320
0.258 0.904 0.938
0.242 0.680 0.146
0.938 0.404 0.258
0.320 0.562 0.466
0.596 0.534 0.854
0.258 0.354 0.820
0.966 0.820 0.562
0.146 0.180 0.242
0.180 0.034 0.938
0.820 0.854 0.258
0.534 0.596 0.354
0.062 0.596 0.742
0.375 0.250 0.125
0.250 0.875 0.125
0.375 0.125 0.750
0.500 0.500 0.500
0.125 0.750 0.375
0.875 0.250 0.625
0.000 0.500 0.500
0.000 0.000 0.500
0.750 0.625 0.375
0.500 0.000 0.500
0.000 0.500 0.000
0.500 0.000 0.000
0.500 0.500 0.000
0.000 0.000 0.000
0.625 0.875 0.250
0.625 0.750 0.875
0.750 0.125 0.875
0.125 0.375 0.250
0.250 0.375 0.625
0.875 0.625 0.750
0.375 0.750 0.625
0.250 0.125 0.375
0.125 0.250 0.875
0.875 0.125 0.250
0.125 0.875 0.750
0.750 0.375 0.125
0.375 0.625 0.250
0.625 0.375 0.750
0.750 0.875 0.625
0.625 0.250 0.375
0.250 0.625 0.875
0.875 0.750 0.125

5.
K2Tl3Cd5, optimized geometry, DFT PBE; E = -1.44 eV/atom; formation energy from the elements = -0.51 eV per formula unit
1.0
-3.782 5.621 0.406
-9.629 -2.567 2.566
-1.454 2.404 9.900
Cd Tl K
10 6 4
direct
0.344 0.244 0.069
0.049 0.701 0.701
0.844 0.069 0.244
0.451 0.299 0.299
0.250 0.500 0.500
0.549 0.701 0.701
0.750 0.500 0.500
0.156 0.931 0.756
0.656 0.756 0.931
0.951 0.299 0.299
0.907 0.769 0.417
0.250 0.000 0.000
0.093 0.231 0.583
0.593 0.583 0.231
0.407 0.417 0.769
0.750 0.000 0.000
0.144 0.629 0.083
0.356 0.917 0.371
0.856 0.371 0.917
0.644 0.083 0.629

6.
PmSc2Pd2, optimized geometry, DFT PBE; E = -6.16 eV/atom; formation energy from the elements = -2.98 eV per formula unit
1.0
5.886 -0.001 0.001
2.940 6.089 0.943
2.955 1.036 6.762
Pm Sc Pd
2 4 4
direct
0.865 0.750 0.250
0.135 0.250 0.750
0.611 0.381 0.205
0.196 0.121 0.293
0.389 0.619 0.795
0.804 0.879 0.707
0.260 0.674 0.463
0.395 0.827 0.037
0.740 0.326 0.537
0.605 0.173 0.963

7.
AlHg2Sb, optimized geometry, DFT PBE; E = -1.95 eV/atom; ΔE to the lowest computed polymorph = 0.1060 eV per atom; uncorrected formation energy = 171 meV/atom
1.0
-7.966 -2.053 -2.093
-6.094 -2.867 -5.167
-6.204 -5.283 -2.380
Hg Sb Al
2 1 1
direct
0.010 0.010 0.010
0.490 0.490 0.490
0.250 0.250 0.250
0.750 0.750 0.750

8.
RbLaO2, optimized geometry, DFT PBE; E = -6.53 eV/atom; uncorrected formation energy = -2582 meV/atom
1.0
-0.473 3.695 -0.239
-1.473 1.497 -3.086
-6.806 1.114 1.532
O Rb La
2 1 1
direct
0.275 0.275 0.174
0.062 0.062 0.815
0.496 0.496 0.511
0.667 0.667 0.999

Here are the calculated magnetic moment numbers, same order: 0.0, 0.0, 2.7, 0.0, 0.0, 0.0, 0.0, 0.0 (μB per formula unit).